(1)
A plane-wave DFT calculation with GGA-PBE was carried out for a relaxed structure of ZrHg2As.

Output
crystal system	monoclinic
magnetization	0.0	μB/f.u.
E_tot	-3.619	eV/atom
DOS at the Fermi energy	3.0	states/eV/f.u.
density	10.47	Mg/m³
energy of formation	-3.90	kcal/mol of atoms

Geometry as CIF:
```
data_ZrHg2As
_symmetry_space_group_name_H-M 'C 1 m 1'
_symmetry_Int_Tables_number 8
_symmetry_space_group_name_Hall 'C -2y'
_cell_length_a 9.631
_cell_length_b 3.766
_cell_length_c 5.274
_cell_angle_alpha 90.00
_cell_angle_beta 109.77
_cell_angle_gamma 90.00
loop_
_atom_site_label
_atom_site_fract_x
_atom_site_fract_y
_atom_site_fract_z
Zr1 0.000 0.000 0.000
Hg1 0.237 0.000 0.644
Hg2 0.475 0.000 0.439
As1 0.213 0.500 0.049
```



(2)
A plane-wave DFT calculation with GGA-PBE was carried out for a relaxed structure of La4AlZn2Ag.

Output
crystal system	trigonal
magnetization	0.0	μB/f.u.
E_tot	-3.914	eV/atom
DOS at the Fermi energy	8.6	states/eV/f.u.
density	6.26	Mg/m³
energy of formation	-7.08	kcal/mol of atoms

Geometry as CIF:
```
data_La4AlZn2Ag
_symmetry_space_group_name_H-M 'R -3 m'
_symmetry_Int_Tables_number 166
_symmetry_space_group_name_Hall '-R 3 2"'
_cell_length_a 5.3547
_cell_length_b 5.3547
_cell_length_c 26.3340
_cell_angle_alpha 90.00
_cell_angle_beta 90.00
_cell_angle_gamma 120.00
loop_
_atom_site_label
_atom_site_fract_x
_atom_site_fract_y
_atom_site_fract_z
La1 0.0000 0.0000 0.1242
La2 0.0000 0.0000 0.3747
Al1 0.0000 0.0000 0.0000
Zn1 0.0000 0.0000 0.2521
Ag1 0.0000 0.0000 0.5000
```



(3)
A plane-wave DFT calculation with GGA-PBE was carried out for a relaxed structure of RbBaH2O.

Output
crystal system	tetragonal
magnetization	0.0	μB/f.u.
E_tot	-2.521	eV/atom
DOS at the Fermi energy	0.7	states/eV/f.u.
density	3.26	Mg/m³

Geometry as CIF:
```
data_RbBaH2O
_symmetry_space_group_name_H-M 'P 4/m m m'
_symmetry_Int_Tables_number 123
_symmetry_space_group_name_Hall '-P 4 2'
_cell_length_a 5.422
_cell_length_b 5.422
_cell_length_c 4.179
_cell_angle_alpha 90.00
_cell_angle_beta 90.00
_cell_angle_gamma 90.00
loop_
_atom_site_label
_atom_site_fract_x
_atom_site_fract_y
_atom_site_fract_z
Rb1 0.000 0.000 0.000
Ba1 0.500 0.500 0.000
H1 0.000 0.500 0.500
O1 0.000 0.000 0.500
```



(4)
A plane-wave DFT calculation with GGA-PBE was carried out for a relaxed structure of CePm2FeN4.

Output
crystal system	orthorhombic
magnetization	3.8	μB/f.u.
energy relative to the elements, uncorrected	-998	meV/atom
E_tot	-8.148	eV/atom
DOS at the Fermi energy	2.4	states/eV/f.u.
density	7.48	Mg/m³

Geometry as CIF:
```
data_CePm2FeN4
_symmetry_space_group_name_H-M 'C m c m'
_symmetry_Int_Tables_number 63
_symmetry_space_group_name_Hall '-C 2c 2'
_cell_length_a 3.473
_cell_length_b 11.519
_cell_length_c 12.027
_cell_angle_alpha 90.00
_cell_angle_beta 90.00
_cell_angle_gamma 90.00
loop_
_atom_site_label
_atom_site_fract_x
_atom_site_fract_y
_atom_site_fract_z
Ce1 0.000 0.098 0.250
Pm1 0.000 0.369 0.051
Fe1 0.000 0.170 0.750
N1 0.000 0.000 0.000
N2 0.000 0.276 0.633
N3 0.000 0.445 0.250
```



(5)
A plane-wave DFT calculation with GGA-PBE was carried out for a relaxed structure of MgIn2S.

Output
crystal system	trigonal
magnetization	0.0	μB/f.u.
energy relative to the elements, uncorrected	-87	meV/atom
E_tot	-2.886	eV/atom
DOS at the Fermi energy	1.3	states/eV/f.u.
density	4.30	Mg/m³
polymorph energy (0 for the lowest one)	98	meV/atom

Geometry as CIF:
```
data_MgIn2S
_symmetry_space_group_name_H-M 'R -3 m'
_symmetry_Int_Tables_number 166
_symmetry_space_group_name_Hall '-R 3 2"'
_cell_length_a 3.5957
_cell_length_b 3.5957
_cell_length_c 29.5640
_cell_angle_alpha 90.00
_cell_angle_beta 90.00
_cell_angle_gamma 120.00
loop_
_atom_site_label
_atom_site_fract_x
_atom_site_fract_y
_atom_site_fract_z
Mg1 0.0000 0.0000 0.0000
In1 0.0000 0.0000 0.1044
S1 0.0000 0.0000 0.5000
```



(6)
A plane-wave DFT calculation with GGA-PBE was carried out for a relaxed structure of La2ErAu.

Output
crystal system	trigonal
magnetization	0.0	μB/f.u.
E_tot	-4.460	eV/atom
DOS at the Fermi energy	5.7	states/eV/f.u.
density	8.47	Mg/m³
energy of formation	-0.83	kcal/mol of atoms
polymorph energy (0 for the lowest one)	308	meV/atom

Geometry as CIF:
```
data_La2ErAu
_symmetry_space_group_name_H-M 'R -3 m'
_symmetry_Int_Tables_number 166
_symmetry_space_group_name_Hall '-R 3 2"'
_cell_length_a 3.5717
_cell_length_b 3.5717
_cell_length_c 34.1674
_cell_angle_alpha 90.00
_cell_angle_beta 90.00
_cell_angle_gamma 120.00
loop_
_atom_site_label
_atom_site_fract_x
_atom_site_fract_y
_atom_site_fract_z
La1 0.0000 0.0000 0.0973
Er1 0.0000 0.0000 0.0000
Au1 0.0000 0.0000 0.5000
```



(7)
A plane-wave DFT calculation with GGA-PBE was carried out for a relaxed structure of Pm2Zn3Ni12Ir.

Output
crystal system	trigonal
magnetization	0.0	μB/f.u.
E_tot	-4.985	eV/atom
DOS at the Fermi energy	19.0	states/eV/f.u.
density	8.46	Mg/m³
energy of formation	2.34	kcal/mol of atoms

Geometry as CIF:
```
data_Pm2Zn3Ni12Ir
_symmetry_space_group_name_H-M 'R -3 m'
_symmetry_Int_Tables_number 166
_symmetry_space_group_name_Hall '-R 3 2"'
_cell_length_a 5.9058
_cell_length_b 5.9058
_cell_length_c 26.9714
_cell_angle_alpha 90.00
_cell_angle_beta 90.00
_cell_angle_gamma 120.00
loop_
_atom_site_label
_atom_site_fract_x
_atom_site_fract_y
_atom_site_fract_z
Pm1 0.0000 0.0000 0.1480
Zn1 0.0000 0.5000 0.0000
Ni1 0.0429 0.5215 0.0959
Ni2 0.0709 0.5354 0.6170
Ir1 0.0000 0.0000 0.5000
```



(8)
A plane-wave DFT calculation with GGA-PBE was carried out for a relaxed structure of Zn2Ga8Co3.

Output
crystal system	orthorhombic
magnetization	0.0	μB/f.u.
E_tot	-3.821	eV/atom
DOS at the Fermi energy	5.3	states/eV/f.u.
density	7.11	Mg/m³
energy of formation	-2.81	kcal/mol of atoms

Geometry as CIF:
```
data_Zn2Ga8Co3
_symmetry_space_group_name_H-M 'C m m m'
_symmetry_Int_Tables_number 65
_symmetry_space_group_name_Hall '-C 2 2'
_cell_length_a 8.223
_cell_length_b 11.896
_cell_length_c 4.130
_cell_angle_alpha 90.00
_cell_angle_beta 90.00
_cell_angle_gamma 90.00
loop_
_atom_site_label
_atom_site_fract_x
_atom_site_fract_y
_atom_site_fract_z
Zn1 0.000 0.247 0.000
Ga1 0.000 0.121 0.500
Ga2 0.000 0.387 0.500
Ga3 0.238 0.385 0.000
Co1 0.000 0.000 0.000
Co2 0.242 0.000 0.500
```



(9)
A plane-wave DFT calculation with GGA-PBE was carried out for a relaxed structure of LiAl2ZnTe4.

Output
crystal system	orthorhombic
magnetization	0.0	μB/f.u.
energy relative to the elements, uncorrected	-459	meV/atom
E_tot	-3.364	eV/atom
DOS at the Fermi energy	1.7	states/eV/f.u.
density	4.32	Mg/m³

Geometry as CIF:
```
data_LiAl2ZnTe4
_symmetry_space_group_name_H-M 'F m m 2'
_symmetry_Int_Tables_number 42
_symmetry_space_group_name_Hall 'F 2 -2'
_cell_length_a 8.612
_cell_length_b 9.671
_cell_length_c 11.751
_cell_angle_alpha 90.00
_cell_angle_beta 90.00
_cell_angle_gamma 90.00
loop_
_atom_site_label
_atom_site_fract_x
_atom_site_fract_y
_atom_site_fract_z
Li1 0.000 0.000 0.000
Al1 0.250 0.250 0.249
Zn1 0.000 0.000 0.510
Te1 0.000 0.240 0.392
Te2 0.249 0.000 0.645
```



(10)
A plane-wave DFT calculation with GGA-PBE was carried out for a relaxed structure of Ac2LaClO4.

Output
crystal system	tetragonal
magnetization	0.0	μB/f.u.
energy relative to the elements, uncorrected	-3234	meV/atom
E_tot	-7.587	eV/atom
DOS at the Fermi energy	0.0	states/eV/f.u.
density	6.82	Mg/m³

Geometry as CIF:
```
data_Ac2LaClO4
_symmetry_space_group_name_H-M 'P 4/m m m'
_symmetry_Int_Tables_number 123
_symmetry_space_group_name_Hall '-P 4 2'
_cell_length_a 4.175
_cell_length_b 4.175
_cell_length_c 9.677
_cell_angle_alpha 90.00
_cell_angle_beta 90.00
_cell_angle_gamma 90.00
loop_
_atom_site_label
_atom_site_fract_x
_atom_site_fract_y
_atom_site_fract_z
Ac1 0.000 0.000 0.231
La1 0.500 0.500 0.500
Cl1 0.500 0.500 0.000
O1 0.000 0.500 0.347
```



(11)
A plane-wave DFT calculation with GGA-PBE was carried out for a relaxed structure of La5Pm2Pr12.

Output
crystal system	monoclinic
magnetization	0.0	μB/f.u.
E_tot	-4.721	eV/atom
DOS at the Fermi energy	32.5	states/eV/f.u.
density	6.27	Mg/m³
energy of formation	2.17	kcal/mol of atoms
polymorph energy (0 for the lowest one)	0	meV/atom

Geometry as CIF:
```
data_La5Pm2Pr12
_symmetry_space_group_name_H-M 'C 1 2/m 1'
_symmetry_Int_Tables_number 12
_symmetry_space_group_name_Hall '-C 2y'
_cell_length_a 16.248
_cell_length_b 10.686
_cell_length_c 11.504
_cell_angle_alpha 90.00
_cell_angle_beta 134.79
_cell_angle_gamma 90.00
loop_
_atom_site_label
_atom_site_fract_x
_atom_site_fract_y
_atom_site_fract_z
La1 0.000 0.000 0.000
La2 0.197 0.500 0.793
La3 0.216 0.000 0.812
Pm1 0.000 0.251 0.500
Pr1 0.095 0.000 0.399
Pr2 0.098 0.500 0.386
Pr3 0.103 0.241 0.899
Pr4 0.204 0.240 0.307
```



(12)
A plane-wave DFT calculation with GGA-PBE was carried out for a relaxed structure of BeMoCl2.

Output
crystal system	monoclinic
magnetization	0.0	μB/f.u.
energy relative to the elements, uncorrected	-5	meV/atom
E_tot	-4.567	eV/atom
DOS at the Fermi energy	1.5	states/eV/f.u.
density	3.30	Mg/m³
polymorph energy (0 for the lowest one)	300	meV/atom

Geometry as CIF:
```
data_BeMoCl2
_symmetry_space_group_name_H-M 'C 1 m 1'
_symmetry_Int_Tables_number 8
_symmetry_space_group_name_Hall 'C -2y'
_cell_length_a 8.312
_cell_length_b 2.909
_cell_length_c 7.419
_cell_angle_alpha 90.00
_cell_angle_beta 99.00
_cell_angle_gamma 90.00
loop_
_atom_site_label
_atom_site_fract_x
_atom_site_fract_y
_atom_site_fract_z
Be1 0.000 0.000 0.000
Mo1 0.284 0.000 0.113
Cl1 0.145 0.500 0.841
Cl2 0.332 0.500 0.367
```